[1]
VASP calculation (PBE) on KRb4Cd after structural relaxation.

Cell lengths 12.553, 12.553, 12.553 Å; angles 90.00, 90.00, 90.00 degrees
Space group F-43m (No. 216)
Symmetry-distinct sites (fractional):
K: 0.000 0.000 0.000 (multiplicity 4)
Rb: 0.124 0.124 0.624 (multiplicity 16)
Cd: 0.250 0.250 0.250 (multiplicity 4)

Results
- energy relative to the elements (meV per atom) = 163
- energy above the most stable polymorph in this dataset (meV/atom) = 166.9
- total moment (μB per formula unit) = 0.00


[2]
VASP calculation (PBE) on In12Bi3Te5 after structural relaxation.

Cell lengths 18.359, 18.359, 18.359 Å; angles 90.00, 90.00, 90.00 degrees
Space group Ia-3d (No. 230)
Symmetry-distinct sites (fractional):
In: 0.010 0.071 0.656 (multiplicity 96)
Bi: 0.000 0.250 0.125 (multiplicity 24)
Te: 0.000 0.000 0.000 (multiplicity 16)
Te: 0.000 0.250 0.375 (multiplicity 24)

Results
- uncorrected formation energy (eV per formula unit) = -0.67
- total moment (μB per formula unit) = 0.00


[3]
VASP calculation (PBE) on LiAcGd2 after structural relaxation.

Cell lengths 8.090, 8.090, 8.090 Å; angles 90.00, 90.00, 90.00 degrees
Space group Fm-3m (No. 225)
Symmetry-distinct sites (fractional):
Li: 0.000 0.000 0.000 (multiplicity 4)
Ac: 0.000 0.000 0.500 (multiplicity 4)
Gd: 0.250 0.250 0.250 (multiplicity 8)

Results
- energy relative to the elements (meV per atom) = 233
- energy above the most stable polymorph in this dataset (meV/atom) = 155.9
- total moment (μB per formula unit) = 15.12


[4]
VASP calculation (PBE) on BaGa2Ni2 after structural relaxation.

Cell lengths 4.260, 4.260, 11.407 Å; angles 90.00, 90.00, 90.00 degrees
Space group I4/mmm (No. 139)
Symmetry-distinct sites (fractional):
Ba: 0.000 0.000 0.000 (multiplicity 2)
Ga: 0.000 0.000 0.345 (multiplicity 4)
Ni: 0.000 0.500 0.250 (multiplicity 4)

Results
- energy relative to the elements (meV per atom) = -338
- total moment (μB per formula unit) = 0.00


[5]
VASP calculation (PBE) on ScTcTeI2 after structural relaxation.

Cell lengths 5.673, 5.673, 5.678 Å; angles 90.00, 90.00, 90.00 degrees
Space group P4/mmm (No. 123)
Symmetry-distinct sites (fractional):
Sc: 0.000 0.000 0.000 (multiplicity 1)
Tc: 0.500 0.500 0.500 (multiplicity 1)
Te: 0.000 0.000 0.500 (multiplicity 1)
I: 0.000 0.500 0.000 (multiplicity 2)

Results
- uncorrected formation energy (eV per formula unit) = 1.92
- energy above the most stable polymorph in this dataset (meV/atom) = 0.0
- total moment (μB per formula unit) = 5.29


| no. | DOS(E_F) (states/eV/cell) |
| --- | --- |
| 1 | 20.5 |
| 2 | 80.8 |
| 3 | 25.5 |
| 4 | 7.1 |
| 5 | 4.1 |